{
  "formula": "Pr2SnGe",
  "functional": "PBE",
  "state": "optimized geometry",
  "mass_density_g_cm3": 6.90,
  "crystal_system": "orthorhombic",
  "energy_ev_per_atom": -5.338,
  "space_group": "Amm2 (38)",
  "cell": [[4.260, 0.000, 0.000], [0.000, 2.317, 5.769], [0.000, -2.317, 5.769]],
  "species": ["Ge", "Pr", "Pr", "Sn"],
  "frac_coords": [[0.000, 0.588, 0.588], [0.000, 0.858, 0.858], [0.500, 0.135, 0.135], [0.500, 0.418, 0.418]]
}


{
  "formula": "Lu2ScZn",
  "functional": "PBE",
  "state": "optimized geometry",
  "mass_density_g_cm3": 8.05,
  "ef_ev_per_atom": 0.0511,
  "crystal_system": "cubic",
  "space_group": "F-43m (216)",
  "cell": [[0.000, 3.621, 3.621], [3.621, 0.000, 3.621], [3.621, 3.621, 0.000]],
  "species": ["Zn", "Sc", "Lu", "Lu"],
  "frac_coords": [[0.250, 0.250, 0.250], [0.500, 0.500, 0.500], [0.000, 0.000, 0.000], [0.750, 0.750, 0.750]]
}


Number 2 is which compound? Lu2ScZn